[1]
DFT (PBE) results for a geometry-optimized ScPaBi2 structure.

Cell and atoms, written as POSCAR:
```
ScPaBi2
1.0
3.9241 0.0000 0.0000
0.0000 3.9241 0.0000
0.0000 0.0000 6.9872
Sc Pa Bi
1 1 2
direct
0.5000 0.5000 0.0000 Sc
0.5000 0.5000 0.5000 Pa
0.0000 0.0000 0.7564 Bi
0.0000 0.0000 0.2436 Bi
```

Results
The formation energy is -0.24 eV per atom. As for the space group: P4/mmm, No. 123. The calculation puts the energy above the most stable polymorph in this dataset at 0.0368 eV per atom.

---

[2]
DFT (PBE) results for a geometry-optimized HoCo4Pb structure.

Cell and atoms, written as POSCAR:
```
HoCo4Pb
1.0
-4.8735 0.0048 1.2958
-1.5642 -2.7316 3.9397
-1.4806 2.3018 4.2355
Pb Co Ho
1 4 1
direct
0.2500 0.2500 0.2500 Pb
0.6253 0.6253 0.1242 Co
0.6253 0.1242 0.6253 Co
0.6253 0.6253 0.6253 Co
0.1242 0.6253 0.6253 Co
0.0000 0.0000 0.0000 Ho
```

Results
The formation energy is 0.00 eV per atom. As for the space group: F-43m, No. 216.